Entry 1:
Nd5Y3Bi8 (PBE, optimized geometry); formation energy from the elements = -0.93 eV per atom; E = -89.102 eV/f.u.
1.0
3.685 3.779 7.450
7.696 -3.423 3.525
7.799 4.694 -0.644
Nd Y Bi
5 3 8
Cartesian
1.843 1.890 3.725
5.691 0.178 5.488
0.000 0.000 0.000
3.848 -1.712 1.762
9.590 2.525 5.165
5.742 4.237 3.403
3.900 2.347 -0.322
7.748 0.635 1.440
8.653 3.584 2.264
12.542 1.854 4.046
10.515 5.494 6.030
14.353 3.751 7.783
10.528 1.466 8.067
6.638 3.196 6.285
8.665 -0.444 4.301
4.827 1.299 2.548

=====

Entry 2:
Mg2CuSbS4 (PBE, optimized geometry); E = -33.729 eV/f.u.; formation energy without anion corrections = -0.726 eV per atom
1.0
-0.347 0.816 -5.713
-5.745 -0.589 0.273
2.516 5.444 3.546
Mg Cu Sb S
2 1 1 4
Cartesian
-0.439 3.188 -2.444
-3.138 2.485 0.550
-0.530 5.557 0.826
0.000 0.003 0.000
-1.763 4.191 -0.606
-4.391 1.216 -1.168
-1.971 1.846 -3.851
0.973 4.089 1.837

=====

Entry 3:
TmBRu2C (PBE, optimized geometry); formation energy from the elements = -0.34 eV per atom; E = -40.630 eV/f.u.
1.0
-1.071 1.303 -3.080
-3.986 -3.615 1.858
-3.194 5.228 3.322
Tm B Ru C
2 2 4 2
Cartesian
-6.471 1.249 2.778
-1.779 1.667 -0.678
-4.974 3.233 1.095
-3.277 -0.318 1.005
-4.522 3.886 3.216
-3.728 -0.971 -1.116
-3.336 1.945 1.982
-4.914 0.970 0.117
0.000 0.000 0.000
-1.597 2.614 1.661

=====

It is found that the total magnetization values, taken in the order of the records, are 0.000 0.000 0.000 μB per atom.